Material: RbPmAsO
Method: DFT, PBE
State: optimized geometry

abc: 3.5570 8.1559 8.1391
angles: 90.00 90.00 90.00
Last column: nearest neighbours and their distance in Å.
Fractional positions:
1 As 0.0000 0.7972 0.3141  2 Pm 2.95-2.96
2 As 0.0000 0.2028 0.8141  2 Pm 2.95-2.96
3 O 0.5000 0.2613 0.3838  2 Pm 2.17
4 O 0.5000 0.7387 0.8838  2 Pm 2.17
5 Pm 0.0000 0.1290 0.4578  2 O 2.17
6 Pm 0.0000 0.8710 0.9578  2 O 2.17
7 Rb 0.5000 0.4465 0.0983  2 O 2.77-2.95
8 Rb 0.5000 0.5535 0.5983  2 O 2.77-2.95

---

Material: RbPmAsO
Method: DFT, PBE
State: optimized geometry

abc: 6.0475 6.0475 5.3337
angles: 90.00 90.00 90.00
Last column: nearest neighbours and their distance in Å.
Fractional positions:
1 As 0.7500 0.7500 0.4971  2 Rb 2.67
2 As 0.2500 0.2500 0.5029  2 Rb 2.67
3 O 0.7500 0.2500 0.0000  2 Pm 2.67
4 O 0.2500 0.7500 0.0000  2 Pm 2.67
5 Pm 0.7500 0.2500 0.5000  2 O 2.67
6 Pm 0.2500 0.7500 0.5000  2 O 2.67
7 Rb 0.2500 0.2500 0.0027  2 As 2.67
8 Rb 0.7500 0.7500 0.9973  2 As 2.67

---

Material: PmSnAsO
Method: DFT, PBE
State: optimized geometry

abc: 5.6727 5.6727 5.3753
angles: 90.00 90.00 90.00
Last column: nearest neighbours and their distance in Å.
Fractional positions:
1 As 0.7500 0.7500 0.4850  2 Sn 2.67-2.70, 4 Pm 2.84
2 As 0.2500 0.2500 0.5150  2 Sn 2.67-2.70, 4 Pm 2.84
3 O 0.7500 0.2500 0.0000  2 Pm 2.69, 4 Sn 2.84
4 O 0.2500 0.7500 0.0000  2 Pm 2.69, 4 Sn 2.84
5 Pm 0.7500 0.2500 0.5000  2 O 2.69, 4 As 2.84
6 Pm 0.2500 0.7500 0.5000  2 O 2.69, 4 As 2.84
7 Sn 0.2500 0.2500 0.0120  2 As 2.67-2.70, 4 O 2.84
8 Sn 0.7500 0.7500 0.9880  2 As 2.67-2.70, 4 O 2.84

---

Material: PmSnAsO
Method: DFT, PBE
State: optimized geometry

abc: 4.0738 8.7742 6.1631
angles: 90.00 90.00 90.00
Last column: nearest neighbours and their distance in Å.
Fractional positions:
1 As 0.0000 0.8293 0.4195  2 Sn 2.74, 2 Pm 2.95-2.99
2 As 0.0000 0.1707 0.9195  2 Sn 2.74, 2 Pm 2.95-2.99
3 O 0.5000 0.2542 0.3623  1 Sn 2.21, 2 Pm 2.23
4 O 0.5000 0.7458 0.8623  1 Sn 2.21, 2 Pm 2.23
5 Pm 0.0000 0.1648 0.4349  2 O 2.23
6 Pm 0.0000 0.8352 0.9349  2 O 2.23
7 Sn 0.5000 0.3617 0.0373  1 O 2.21
8 Sn 0.5000 0.6384 0.5373  1 O 2.21

---

Material: PmSnAsO
Method: DFT, PBE
State: optimized geometry

abc: 4.2024 4.2024 10.0024
angles: 90.00 90.00 90.00
Last column: nearest neighbours and their distance in Å.
Fractional positions:
1 As 0.7500 0.7500 0.2766  4 Sn 3.07, 4 Pm 3.43
2 As 0.2500 0.2500 0.7234  4 Sn 3.07, 4 Pm 3.43
3 O 0.7500 0.2500 0.0000  4 Pm 2.35
4 O 0.2500 0.7500 0.0000  4 Pm 2.35
5 Pm 0.2500 0.2500 0.1062  4 O 2.35
6 Pm 0.7500 0.7500 0.8938  4 O 2.35
7 Sn 0.7500 0.2500 0.5000  4 Sn 2.97, 4 As 3.07
8 Sn 0.2500 0.7500 0.5000  4 Sn 2.97, 4 As 3.07

---

Material: PmSnAsO
Method: DFT, PBE
State: optimized geometry

abc: 4.9762 6.0474 6.4679
angles: 90.00 90.00 90.00
Last column: nearest neighbours and their distance in Å.
Fractional positions:
1 As 0.0000 0.2887 0.3426  2 Sn 2.69-2.93, 2 Pm 2.96
2 As 0.0000 0.7113 0.8426  2 Sn 2.69-2.93, 2 Pm 2.96
3 O 0.5000 0.8535 0.4152  2 Pm 2.21-2.26
4 O 0.5000 0.1465 0.9152  2 Pm 2.21-2.26
5 Pm 0.5000 0.8200 0.0673  2 O 2.21-2.26
6 Pm 0.5000 0.1800 0.5673  2 O 2.21-2.26
7 Sn 0.0000 0.7643 0.4289  2 O 2.55, 1 As 2.69
8 Sn 0.0000 0.2357 0.9289  2 O 2.55, 1 As 2.69

---

Material: TbPmAsO
Method: DFT, PBE
State: optimized geometry

abc: 4.1829 7.9330 5.8241
angles: 90.00 90.00 90.00
Last column: nearest neighbours and their distance in Å.
Fractional positions:
1 As 0.0000 0.8491 0.4335  2 Pm 2.81, 3 Tb 2.84-2.98
2 As 0.0000 0.1509 0.9335  2 Pm 2.81, 3 Tb 2.84-2.98
3 O 0.5000 0.3228 0.3887  2 Tb 2.30, 2 Pm 2.35-2.41
4 O 0.5000 0.6772 0.8887  2 Tb 2.30, 2 Pm 2.35-2.41
5 Pm 0.5000 0.6164 0.4930  2 O 2.35-2.41
6 Pm 0.5000 0.3836 0.9930  2 O 2.35-2.41
7 Tb 0.0000 0.2069 0.4388  2 O 2.30
8 Tb 0.0000 0.7931 0.9388  2 O 2.30

---

Material: TbPmAsO
Method: DFT, PBE
State: optimized geometry

abc: 4.3213 4.3213 9.1153
angles: 90.00 90.00 90.00
Last column: nearest neighbours and their distance in Å.
Fractional positions:
1 As 0.0000 0.5000 0.2840  4 Pm 2.92
2 As 0.5000 0.0000 0.7160  4 Pm 2.92
3 O 0.0000 0.0000 0.0000  4 Tb 2.34
4 O 0.5000 0.5000 0.0000  4 Tb 2.34
5 Pm 0.0000 0.0000 0.5000  4 As 2.92, 4 Pm 3.06
6 Pm 0.5000 0.5000 0.5000  4 As 2.92, 4 Pm 3.06
7 Tb 0.5000 0.0000 0.0992  4 O 2.34
8 Tb 0.0000 0.5000 0.9008  4 O 2.34

---

Material: TbPmAsO
Method: DFT, PBE
State: optimized geometry

abc: 4.2716 7.6592 6.0707
angles: 90.00 90.00 90.00
Last column: nearest neighbours and their distance in Å.
Fractional positions:
1 As 0.0000 0.3278 0.4275  2 Tb 2.77, 3 Pm 2.88-3.10
2 As 0.0000 0.6722 0.9275  2 Tb 2.77, 3 Pm 2.88-3.10
3 O 0.5000 0.8330 0.3752  2 Tb 2.23-2.27, 2 Pm 2.38
4 O 0.5000 0.1670 0.8752  2 Tb 2.23-2.27, 2 Pm 2.38
5 Pm 0.0000 0.7034 0.4361  2 O 2.38
6 Pm 0.0000 0.2966 0.9361  2 O 2.38
7 Tb 0.5000 0.8919 0.0152  2 O 2.23-2.27
8 Tb 0.5000 0.1081 0.5152  2 O 2.23-2.27

---

Material: TbPmAsO
Method: DFT, PBE
State: optimized geometry

abc: 4.3152 4.3152 9.1480
angles: 90.00 90.00 90.00
Last column: nearest neighbours and their distance in Å.
Fractional positions:
1 As 0.7500 0.7500 0.2846  4 Pm 2.92
2 As 0.2500 0.2500 0.7154  4 Pm 2.92
3 O 0.7500 0.2500 0.0000  4 Tb 2.34
4 O 0.2500 0.7500 0.0000  4 Tb 2.34
5 Pm 0.7500 0.2500 0.5000  4 As 2.92, 4 Pm 3.05
6 Pm 0.2500 0.7500 0.5000  4 As 2.92, 4 Pm 3.05
7 Tb 0.2500 0.2500 0.0993  4 O 2.34
8 Tb 0.7500 0.7500 0.9007  4 O 2.34

---

Material: TbPmAsO
Method: DFT, PBE
State: optimized geometry

abc: 4.3956 4.3956 9.0360
angles: 90.00 90.00 90.00
Last column: nearest neighbours and their distance in Å.
Fractional positions:
1 As 0.7500 0.7500 0.2984  4 Tb 2.85
2 As 0.2500 0.2500 0.7016  4 Tb 2.85
3 O 0.7500 0.2500 0.0000  4 Pm 2.40
4 O 0.2500 0.7500 0.0000  4 Pm 2.40
5 Pm 0.2500 0.2500 0.1066  4 O 2.40
6 Pm 0.7500 0.7500 0.8934  4 O 2.40
7 Tb 0.7500 0.2500 0.5000  4 As 2.85, 4 Tb 3.11
8 Tb 0.2500 0.7500 0.5000  4 As 2.85, 4 Tb 3.11

---

Material: PmTeAsO
Method: DFT, PBE
State: optimized geometry

abc: 5.8490 7.0935 5.9862
angles: 90.00 90.00 90.00
Last column: nearest neighbours and their distance in Å.
Fractional positions:
1 As 0.0000 0.3124 0.4728  1 Te 2.59
2 As 0.0000 0.6876 0.9728  1 Te 2.59
3 O 0.5000 0.9474 0.3041  2 Pm 2.08-2.09
4 O 0.5000 0.0526 0.8041  2 Pm 2.08-2.09
5 Pm 0.5000 0.1925 0.4964  2 O 2.08-2.09
6 Pm 0.5000 0.8075 0.9964  2 O 2.08-2.09
7 Te 0.0000 0.6771 0.4807  1 As 2.59
8 Te 0.0000 0.3229 0.9807  1 As 2.59

---

Number 1: uncorrected energy -5.32 eV/atom, ΔE to the lowest computed polymorph 0 meV/atom, spin magnetization 0.00 μB per atom. Number 2: uncorrected energy -4.75 eV/atom, ΔE to the lowest computed polymorph 567 meV/atom, spin magnetization 0.00 μB per atom. Number 3: uncorrected energy -5.61 eV/atom, ΔE to the lowest computed polymorph 423 meV/atom, spin magnetization 0.00 μB per atom. Number 4: uncorrected energy -6.00 eV/atom, ΔE to the lowest computed polymorph 38 meV/atom, spin magnetization 0.00 μB per atom. Number 5: uncorrected energy -6.03 eV/atom, ΔE to the lowest computed polymorph 0 meV/atom, spin magnetization 0.00 μB per atom. Number 6: uncorrected energy -5.88 eV/atom, ΔE to the lowest computed polymorph 152 meV/atom, spin magnetization 0.00 μB per atom. Number 7: uncorrected energy -6.67 eV/atom, ΔE to the lowest computed polymorph 36 meV/atom, spin magnetization 0.01 μB per atom. Number 8: uncorrected energy -6.57 eV/atom, ΔE to the lowest computed polymorph 136 meV/atom, spin magnetization 0.01 μB per atom. Number 9: uncorrected energy -6.71 eV/atom, ΔE to the lowest computed polymorph 0 meV/atom, spin magnetization 0.00 μB per atom. Number 10: uncorrected energy -6.57 eV/atom, ΔE to the lowest computed polymorph 136 meV/atom, spin magnetization 0.01 μB per atom. Number 11: uncorrected energy -6.64 eV/atom, ΔE to the lowest computed polymorph 70 meV/atom, spin magnetization 0.00 μB per atom. Number 12: uncorrected energy -5.64 eV/atom, ΔE to the lowest computed polymorph 24 meV/atom, spin magnetization 0.00 μB per atom.